1.
Density functional theory data (PBE) for crystalline RbCdGa2Ir at its relaxed geometry.

- Crystal system: tetragonal
- Volume: 25.7 Å³/atom
- Total DFT energy (no corrections): -18.2 eV per formula unit
- Space-group type: P4/mmm (123)
- Formation energy from the elements: -0.282 eV per atom

```
5
Lattice="4.887 0.000 0.000 0.000 4.887 0.000 0.000 0.000 5.377" Properties=species:S:1:pos:R:3 pbc="T T T"
Rb 0.000 0.000 0.000
Cd 2.444 2.444 0.000
Ga 0.000 2.444 2.689
Ga 2.444 0.000 2.689
Ir 2.444 2.444 2.689
```

=====

2.
Density functional theory data (PBE) for crystalline RbCd2GaIr at its relaxed geometry.

- Crystal system: tetragonal
- Volume: 27.8 Å³/atom
- Total DFT energy (no corrections): -15.6 eV per formula unit
- Space-group type: P4/mmm (123)
- Formation energy from the elements: -0.183 eV per atom

```
5
Lattice="5.365 0.000 0.000 0.000 5.365 0.000 0.000 0.000 4.834" Properties=species:S:1:pos:R:3 pbc="T T T"
Rb 0.000 0.000 0.000
Cd 0.000 2.682 2.417
Cd 2.682 0.000 2.417
Ga 2.682 2.682 0.000
Ir 2.682 2.682 2.417
```

=====

3.
Density functional theory data (PBE) for crystalline CdGaSbIr2 at its relaxed geometry.

- Energy relative to the elements, uncorrected: 5.8 eV per formula unit
- Crystal system: tetragonal
- Volume: 26.5 Å³/atom
- Total DFT energy (no corrections): -20.0 eV per formula unit
- Space-group type: P4/mmm (123)

```
5
Lattice="4.916 0.000 0.000 0.000 4.916 0.000 0.000 0.000 5.487" Properties=species:S:1:pos:R:3 pbc="T T T"
Cd 0.000 0.000 0.000
Ga 2.458 2.458 0.000
Sb 0.000 0.000 2.743
Ir 0.000 2.458 2.743
Ir 2.458 0.000 2.743
```

=====

4.
Density functional theory data (PBE) for crystalline Sc2CdGaIr at its relaxed geometry.

- Crystal system: tetragonal
- Volume: 24.5 Å³/atom
- Total DFT energy (no corrections): -21.1 eV per formula unit
- Space-group type: P4/mmm (123)
- Formation energy from the elements: 0.877 eV per atom

```
5
Lattice="5.180 0.000 0.000 0.000 5.180 0.000 0.000 0.000 4.571" Properties=species:S:1:pos:R:3 pbc="T T T"
Sc 0.000 2.590 0.000
Sc 2.590 0.000 0.000
Cd 0.000 0.000 0.000
Ga 0.000 0.000 2.286
Ir 2.590 2.590 2.286
```

=====

5.
Density functional theory data (PBE) for crystalline Sm2CdGa4Ir3 at its relaxed geometry.

- Crystal system: tetragonal
- Volume: 19.4 Å³/atom
- Total DFT energy (no corrections): -54.8 eV per formula unit
- Space-group type: P-4m2 (115)
- Formation energy from the elements: -0.577 eV per atom

```
10
Lattice="4.196 0.000 0.000 0.000 4.196 0.000 0.000 0.000 11.006" Properties=species:S:1:pos:R:3 pbc="T T T"
Sm 0.000 2.098 2.608
Sm 2.098 0.000 8.398
Cd 0.000 0.000 5.503
Ga 0.000 0.000 0.000
Ga 0.000 2.098 7.083
Ga 2.098 0.000 3.923
Ga 2.098 2.098 0.000
Ir 0.000 2.098 9.568
Ir 2.098 0.000 1.439
Ir 2.098 2.098 5.503
```

=====

6.
Density functional theory data (PBE) for crystalline SrCd2GaIr at its relaxed geometry.

- Crystal system: tetragonal
- Volume: 26.5 Å³/atom
- Total DFT energy (no corrections): -16.7 eV per formula unit
- Space-group type: P4/mmm (123)
- Formation energy from the elements: -0.259 eV per atom

```
5
Lattice="5.251 0.000 0.000 0.000 5.251 0.000 0.000 0.000 4.801" Properties=species:S:1:pos:R:3 pbc="T T T"
Sr 0.000 0.000 0.000
Cd 0.000 2.625 2.400
Cd 2.625 0.000 2.400
Ga 2.625 2.625 0.000
Ir 2.625 2.625 2.400
```

=====

7.
Density functional theory data (PBE) for crystalline Sr2CdGaIr at its relaxed geometry.

- Crystal system: tetragonal
- Volume: 32.9 Å³/atom
- Total DFT energy (no corrections): -17.5 eV per formula unit
- Space-group type: P4/mmm (123)
- Formation energy from the elements: -0.268 eV per atom

```
5
Lattice="5.855 0.000 0.000 0.000 5.855 0.000 0.000 0.000 4.804" Properties=species:S:1:pos:R:3 pbc="T T T"
Sr 0.000 2.927 0.000
Sr 2.927 0.000 0.000
Cd 0.000 0.000 2.402
Ga 2.927 2.927 2.402
Ir 2.927 2.927 0.000
```

=====

8.
Density functional theory data (PBE) for crystalline TaCd2GaIr at its relaxed geometry.

- Crystal system: tetragonal
- Volume: 28.9 Å³/atom
- Total DFT energy (no corrections): -20.1 eV per formula unit
- Space-group type: P4/mmm (123)
- Formation energy from the elements: 1.087 eV per atom

```
5
Lattice="5.543 0.000 0.000 0.000 5.543 0.000 0.000 0.000 4.696" Properties=species:S:1:pos:R:3 pbc="T T T"
Ta 0.000 0.000 0.000
Cd 0.000 2.771 0.000
Cd 2.771 0.000 0.000
Ga 2.771 2.771 2.348
Ir 0.000 0.000 2.348
```

=====

9.
Density functional theory data (PBE) for crystalline Th2CdGa3Ir4 at its relaxed geometry.

- Crystal system: tetragonal
- Volume: 19.5 Å³/atom
- Total DFT energy (no corrections): -66.6 eV per formula unit
- Space-group type: P-4m2 (115)
- Formation energy from the elements: -0.631 eV per atom

```
10
Lattice="4.199 0.000 0.000 0.000 4.199 0.000 0.000 0.000 11.051" Properties=species:S:1:pos:R:3 pbc="T T T"
Th 0.000 2.100 2.604
Th 2.100 0.000 8.447
Cd 0.000 0.000 5.526
Ga 0.000 2.100 9.719
Ga 2.100 0.000 1.332
Ga 2.100 2.100 5.526
Ir 0.000 0.000 0.000
Ir 0.000 2.100 7.263
Ir 2.100 0.000 3.789
Ir 2.100 2.100 0.000
```

=====

10.
Density functional theory data (PBE) for crystalline YCd2GaIr at its relaxed geometry.

- Crystal system: tetragonal
- Volume: 28.4 Å³/atom
- Total DFT energy (no corrections): -19.9 eV per formula unit
- Space-group type: P4/mmm (123)
- Formation energy from the elements: 0.059 eV per atom

```
5
Lattice="5.240 0.000 0.000 0.000 5.240 0.000 0.000 0.000 5.168" Properties=species:S:1:pos:R:3 pbc="T T T"
Y 0.000 0.000 0.000
Cd 0.000 2.620 2.584
Cd 2.620 0.000 2.584
Ga 2.620 2.620 0.000
Ir 0.000 0.000 2.584
```

=====

11.
Density functional theory data (PBE) for crystalline K2Cd2Ga at its relaxed geometry.

- Crystal system: tetragonal
- Volume: 38.5 Å³/atom
- Total DFT energy (no corrections): -5.5 eV per formula unit
- Space-group type: I4/mmm (139)
- Formation energy from the elements: 0.319 eV per atom

```
5
Lattice="-2.507 2.507 7.663 2.507 -2.507 7.663 2.507 2.507 -7.663" Properties=species:S:1:pos:R:3 pbc="T T T"
K 2.507 0.000 3.832
K 0.000 2.507 3.832
Cd 0.000 0.000 1.392
Cd 0.000 0.000 13.934
Ga 0.000 0.000 7.663
```

=====

12.
Density functional theory data (PBE) for crystalline KCd2Ga2 at its relaxed geometry.

- Crystal system: tetragonal
- Volume: 24.4 Å³/atom
- Total DFT energy (no corrections): -9.0 eV per formula unit
- Space-group type: P4/mbm (127)
- Formation energy from the elements: -0.013 eV per atom

```
10
Lattice="9.001 0.000 0.000 0.000 9.001 0.000 0.000 0.000 3.007" Properties=species:S:1:pos:R:3 pbc="T T T"
K 0.000 0.000 0.000
K 4.500 4.500 0.000
Cd 1.226 3.274 0.000
Cd 3.274 7.774 0.000
Cd 5.727 1.226 0.000
Cd 7.774 5.727 0.000
Ga 1.406 5.906 1.503
Ga 3.094 1.406 1.503
Ga 5.906 7.595 1.503
Ga 7.595 3.094 1.503
```

=====

13.
Density functional theory data (PBE) for crystalline K2Cd2Ga at its relaxed geometry.

- Crystal system: orthorhombic
- Volume: 33.4 Å³/atom
- Total DFT energy (no corrections): -7.4 eV per formula unit
- Space-group type: Immm (71)
- Formation energy from the elements: -0.063 eV per atom

```
5
Lattice="-2.322 3.157 5.694 2.322 -3.157 5.694 2.322 3.157 -5.694" Properties=species:S:1:pos:R:3 pbc="T T T"
K 0.000 0.000 2.269
K 0.000 0.000 9.119
Cd 2.322 1.536 0.000
Cd 0.000 1.620 5.694
Ga 0.000 3.157 0.000
```

=====

14.
Density functional theory data (PBE) for crystalline KCd2Ga2 at its relaxed geometry.

- Crystal system: tetragonal
- Volume: 26.6 Å³/atom
- Total DFT energy (no corrections): -9.1 eV per formula unit
- Space-group type: I4/mmm (139)
- Formation energy from the elements: -0.032 eV per atom

```
5
Lattice="-2.348 2.348 6.038 2.348 -2.348 6.038 2.348 2.348 -6.038" Properties=species:S:1:pos:R:3 pbc="T T T"
K 0.000 0.000 0.000
Cd 0.000 0.000 4.589
Cd 0.000 0.000 7.486
Ga 2.348 0.000 3.019
Ga 0.000 2.348 3.019
```

=====

15.
Density functional theory data (PBE) for crystalline KCd3Ga2 at its relaxed geometry.

- Crystal system: monoclinic
- Volume: 26.1 Å³/atom
- Total DFT energy (no corrections): -10.3 eV per formula unit
- Space-group type: C2/m (12)
- Formation energy from the elements: -0.062 eV per atom

```
12
Lattice="8.725 -2.306 0.000 8.725 2.306 0.000 -3.455 0.000 7.777" Properties=species:S:1:pos:R:3 pbc="T T T"
K 2.479 0.000 0.577
K 11.516 0.000 7.200
Cd -0.707 0.000 2.718
Cd 3.607 0.000 4.444
Cd 5.941 0.000 2.369
Cd 8.055 0.000 5.408
Cd 10.389 0.000 3.333
Cd 14.703 0.000 5.059
Ga 0.896 0.000 5.139
Ga 5.495 0.000 6.525
Ga 8.500 0.000 1.252
Ga 13.099 0.000 2.638
```

=====

16.
Density functional theory data (PBE) for crystalline KCd9Ga2 at its relaxed geometry.

- Crystal system: tetragonal
- Volume: 23.8 Å³/atom
- Total DFT energy (no corrections): -15.9 eV per formula unit
- Space-group type: I4_1/amd (141)
- Formation energy from the elements: -0.046 eV per atom

```
24
Lattice="-6.018 6.018 3.949 6.018 -6.018 3.949 6.018 6.018 -3.949" Properties=species:S:1:pos:R:3 pbc="T T T"
K 6.018 3.009 0.987
K 0.000 3.009 2.962
Cd 4.557 -0.614 1.377
Cd 7.479 -0.614 1.377
Cd 6.018 -3.009 2.962
Cd 2.395 1.548 0.597
Cd 9.640 1.548 0.597
Cd 4.557 5.404 -1.377
Cd 1.461 -0.614 2.572
Cd 2.395 4.470 0.597
Cd 3.622 -1.548 4.547
Cd 2.395 7.566 -0.597
Cd 3.622 1.548 3.352
Cd 4.557 6.631 1.377
Cd 1.461 0.614 5.327
Cd -3.622 4.470 3.352
Cd 3.622 4.470 3.352
Cd 0.000 9.027 0.987
Cd -1.461 6.631 2.572
Cd 1.461 6.631 2.572
Ga 0.000 0.000 0.000
Ga 3.009 3.009 -1.975
Ga 3.009 -3.009 1.975
Ga 0.000 6.018 0.000
```

=====

17.
Density functional theory data (PBE) for crystalline K2Cd4Ga at its relaxed geometry.

- Crystal system: tetragonal
- Volume: 37.1 Å³/atom
- Total DFT energy (no corrections): -8.4 eV per formula unit
- Space-group type: I4/mmm (139)
- Formation energy from the elements: 0.069 eV per atom

```
7
Lattice="-2.683 2.683 9.015 2.683 -2.683 9.015 2.683 2.683 -9.015" Properties=species:S:1:pos:R:3 pbc="T T T"
K 0.000 0.000 2.656
K 0.000 0.000 15.375
Cd 2.683 0.000 0.000
Cd 0.000 0.000 6.195
Cd 0.000 2.683 0.000
Cd 0.000 0.000 11.835
Ga 0.000 0.000 9.015
```

=====

18.
Density functional theory data (PBE) for crystalline K3Cd4Ga at its relaxed geometry.

- Crystal system: orthorhombic
- Volume: 33.6 Å³/atom
- Total DFT energy (no corrections): -10.5 eV per formula unit
- Space-group type: Imm2 (44)
- Formation energy from the elements: -0.059 eV per atom

```
8
Lattice="-3.161 3.867 5.503 3.161 -3.867 5.503 3.161 3.867 -5.503" Properties=species:S:1:pos:R:3 pbc="T T T"
K 0.000 0.000 0.000
K 3.161 2.015 1.642
K 0.000 1.852 7.145
Cd 3.161 1.514 -2.024
Cd 1.552 3.867 -1.150
Cd 1.609 0.000 4.352
Cd 0.000 2.353 3.478
Ga 0.000 3.867 1.169
```

=====

19.
Density functional theory data (PBE) for crystalline K2CdGa at its relaxed geometry.

- Crystal system: trigonal
- Volume: 38.1 Å³/atom
- Total DFT energy (no corrections): -4.9 eV per formula unit
- Space-group type: R-3m (166)
- Formation energy from the elements: 0.298 eV per atom

```
4
Lattice="1.873 1.081 12.538 -1.873 1.081 12.538 0.000 -2.162 12.538" Properties=species:S:1:pos:R:3 pbc="T T T"
K 0.000 0.000 3.347
K 0.000 0.000 34.266
Cd 0.000 0.000 18.806
Ga 0.000 0.000 0.000
```

=====

20.
Density functional theory data (PBE) for crystalline K4Cd4Ga at its relaxed geometry.

- Crystal system: tetragonal
- Volume: 37.1 Å³/atom
- Total DFT energy (no corrections): -11.3 eV per formula unit
- Space-group type: P4_2/n (86)
- Formation energy from the elements: -0.020 eV per atom

```
18
Lattice="10.040 0.000 0.000 0.000 10.040 0.000 0.000 0.000 6.634" Properties=species:S:1:pos:R:3 pbc="T T T"
K 0.635 8.373 0.733
K 1.667 5.655 4.050
K 3.353 9.405 4.050
K 4.385 6.687 0.733
K 5.655 3.353 5.900
K 6.687 0.635 2.583
K 8.373 4.385 2.583
K 9.405 1.667 5.900
Cd 0.963 1.784 2.678
Cd 1.784 4.057 0.638
Cd 3.236 0.963 0.638
Cd 4.057 3.236 2.678
Cd 5.983 6.804 3.955
Cd 6.804 9.077 5.995
Cd 8.256 5.983 5.995
Cd 9.077 8.256 3.955
Ga 2.510 2.510 4.975
Ga 7.530 7.530 1.658
```

=====

21.
Density functional theory data (PBE) for crystalline KCd6Ga at its relaxed geometry.

- Crystal system: trigonal
- Volume: 27.1 Å³/atom
- Total DFT energy (no corrections): -9.5 eV per formula unit
- Space-group type: R-3m (166)
- Formation energy from the elements: 0.009 eV per atom

```
8
Lattice="2.461 1.421 10.339 -2.461 1.421 10.339 0.000 -2.842 10.339" Properties=species:S:1:pos:R:3 pbc="T T T"
K 0.000 0.000 0.000
Cd 0.000 0.000 4.132
Cd 0.000 0.000 7.597
Cd 0.000 0.000 12.561
Cd 0.000 0.000 18.455
Cd 0.000 0.000 23.419
Cd 0.000 0.000 26.884
Ga 0.000 0.000 15.508
```

=====

22.
Density functional theory data (PBE) for crystalline K3Cd3Ga2 at its relaxed geometry.

- Crystal system: orthorhombic
- Volume: 31.4 Å³/atom
- Total DFT energy (no corrections): -12.1 eV per formula unit
- Space-group type: Cmcm (63)
- Formation energy from the elements: -0.004 eV per atom

```
16
Lattice="2.684 -5.897 0.000 2.684 5.897 0.000 0.000 0.000 15.855" Properties=species:S:1:pos:R:3 pbc="T T T"
K 2.684 5.749 11.891
K 2.684 3.978 0.535
K 2.684 3.978 7.392
K 2.684 -3.978 8.463
K 2.684 -3.978 15.319
K 2.684 -5.749 3.964
Cd 2.684 2.480 3.964
Cd 2.684 0.314 1.573
Cd 2.684 0.314 6.355
Cd 2.684 -0.314 9.500
Cd 2.684 -0.314 14.282
Cd 2.684 -2.480 11.891
Ga 2.684 2.407 10.611
Ga 2.684 2.407 13.171
Ga 2.684 -2.407 2.684
Ga 2.684 -2.407 5.244
```

=====

23.
Density functional theory data (PBE) for crystalline K2CdGa at its relaxed geometry.

- Crystal system: orthorhombic
- Volume: 36.5 Å³/atom
- Total DFT energy (no corrections): -6.2 eV per formula unit
- Space-group type: Cmcm (63)
- Formation energy from the elements: -0.010 eV per atom

```
8
Lattice="5.410 -4.158 0.000 5.410 4.158 0.000 0.000 0.000 6.494" Properties=species:S:1:pos:R:3 pbc="T T T"
K 1.889 1.297 1.624
K 1.889 -1.297 4.871
K 8.932 1.297 1.624
K 8.932 -1.297 4.871
Cd 5.410 2.240 1.624
Cd 5.410 -2.240 4.871
Ga 5.410 0.000 0.000
Ga 5.410 0.000 3.247
```